Material: Sc2Se
Method: DFT, PBEsol
State: relaxed

abc: 3.577 5.364 7.010
angles: 90.00 104.78 90.00
Atoms (fractional coordinates):
Sc 0.947 0.750 0.894
Sc 0.346 0.250 0.692
Sc 0.053 0.250 0.106
Sc 0.654 0.750 0.308
Se 0.697 0.250 0.394
Se 0.303 0.750 0.606

Results
Fermi-level density of states (states/eV per cell): 6.88
Total energy (eV per atom): -6.750
Energy relative to the elements, uncorrected (eV/f.u.): -3.19
Total moment (μB per atom): 0.000
Crystal system: orthorhombic

=====

Material: BeInCl2
Method: DFT, PBEsol
State: relaxed

abc: 3.109 5.493 5.725
angles: 112.39 105.76 90.00
Atoms (fractional coordinates):
Be 0.703 0.033 0.406
In 0.424 0.478 0.848
Cl 0.272 0.847 0.544
Cl 0.101 0.141 0.201

Results
Fermi-level density of states (states/eV per cell): 1.39
Total energy (eV per atom): -3.318
Energy relative to the elements, uncorrected (eV/f.u.): -2.28
Total moment (μB per atom): 0.000
Crystal system: monoclinic
Energy above the lowest structure with this stoichiometry (meV per atom): 195

=====

Material: PtWCl2
Method: DFT, PBEsol
State: relaxed

abc: 2.882 5.116 5.116
angles: 112.87 103.36 103.36
Last column: magnetic moment on the atom in μB.
Atoms (fractional coordinates):
W 0.000 0.500 0.500  0.44
Pt 0.000 0.000 0.000  0.00
Cl 0.000 0.000 0.500  0.00
Cl 0.000 0.500 0.000  0.00

Results
Fermi-level density of states (states/eV per cell): 3.37
Total energy (eV per atom): -5.578
Energy relative to the elements, uncorrected (eV/f.u.): 2.47
Total moment (μB per atom): 0.137
Crystal system: monoclinic

=====

Material: Li3Al
Method: DFT, PBEsol
State: relaxed

abc: 2.769 5.329 5.329
angles: 117.06 99.97 99.97
Atoms (fractional coordinates):
Li 0.500 0.500 0.000
Li 0.000 0.500 0.500
Li 0.500 0.000 0.500
Al 0.000 0.000 0.000

Results
Fermi-level density of states (states/eV per cell): 1.66
Total energy (eV per atom): -2.571
Total moment (μB per atom): 0.000
Crystal system: trigonal

=====

Material: MnGaBr3
Method: DFT, PBEsol
State: relaxed

abc: 5.173 5.173 5.173
angles: 90.00 90.00 90.00
Last column: magnetic moment on the atom in μB.
Atoms (fractional coordinates):
Ga 0.500 0.500 0.500  0.01
Br 0.000 0.000 0.500  0.08
Br 0.500 0.000 0.000  0.08
Br 0.000 0.500 0.000  0.08
Mn 0.000 0.000 0.000  4.38

Results
Total energy (eV per atom): -4.194
Energy relative to the elements, uncorrected (eV/f.u.): -2.26
Total moment (μB per atom): 1.000
Crystal system: cubic

=====

Material: LiCuRu
Method: DFT, PBEsol
State: relaxed

abc: 2.482 2.482 6.412
angles: 101.16 101.16 90.00
Atoms (fractional coordinates):
Ru 0.337 0.337 0.674
Li 0.665 0.665 0.330
Cu 0.998 0.998 0.996

Results
Fermi-level density of states (states/eV per cell): 2.03
Total energy (eV per atom): -5.257
Total moment (μB per atom): 0.000
Crystal system: tetragonal

=====

Material: CoSiRu
Method: DFT, PBEsol
State: relaxed

abc: 2.641 2.641 5.898
angles: 97.46 97.46 114.84
Last column: magnetic moment on the atom in μB.
Atoms (fractional coordinates):
Ru 0.674 0.674 0.349  0.06
Si 0.339 0.339 0.678  -0.01
Co 0.987 0.987 0.974  0.50

Results
Fermi-level density of states (states/eV per cell): 3.36
Total energy (eV per atom): -7.884
Energy relative to the elements, uncorrected (eV/f.u.): 0.00
Total moment (μB per atom): 0.175
Crystal system: orthorhombic

=====

Material: CdAgAu2
Method: DFT, PBEsol
State: relaxed

abc: 2.971 4.978 5.011
angles: 100.41 107.03 90.24
Atoms (fractional coordinates):
Cd 0.499 0.497 0.998
Au 0.749 0.252 0.498
Au 0.000 0.995 0.001
Ag 0.252 0.756 0.503

Results
Fermi-level density of states (states/eV per cell): 0.99
Total energy (eV per atom): -3.202
Total moment (μB per atom): 0.000
Crystal system: triclinic

=====

Material: Sr5Cl
Method: DFT, PBEsol
State: relaxed

abc: 6.520 7.087 7.087
angles: 120.00 90.00 90.00
Atoms (fractional coordinates):
Sr 0.000 0.682 0.000
Sr 0.500 0.667 0.333
Sr 0.000 0.318 0.318
Sr 0.000 0.000 0.682
Sr 0.500 0.333 0.667
Cl 0.500 0.000 0.000

Results
Fermi-level density of states (states/eV per cell): 4.11
Total energy (eV per atom): -2.108
Energy relative to the elements, uncorrected (eV/f.u.): -1.44
Total moment (μB per atom): 0.000
Crystal system: hexagonal

=====

Material: BeB2HPd
Method: DFT, PBEsol
State: relaxed

abc: 3.337 3.337 3.368
angles: 90.00 90.00 90.00
Atoms (fractional coordinates):
Be 0.000 0.000 0.500
B 0.500 0.000 0.000
B 0.000 0.500 0.000
Pd 0.500 0.500 0.500
H 0.000 0.000 0.000

Results
Fermi-level density of states (states/eV per cell): 1.90
Total energy (eV per atom): -4.749
Total moment (μB per atom): 0.000
Crystal system: tetragonal

=====

Material: AlCr2CdIr
Method: DFT, PBEsol
State: relaxed

abc: 4.648 4.648 5.078
angles: 90.00 90.00 90.00
Last column: magnetic moment on the atom in μB.
Atoms (fractional coordinates):
Cr 0.000 0.500 0.000  3.16
Cr 0.500 0.000 0.000  3.16
Ir 0.000 0.000 0.000  -0.15
Cd 0.000 0.000 0.500  -0.02
Al 0.500 0.500 0.500  -0.01

Results
Fermi-level density of states (states/eV per cell): 4.16
Total energy (eV per atom): -5.997
Total moment (μB per atom): 1.339
Crystal system: tetragonal

=====

Material: LaSbW
Method: DFT, PBEsol
State: relaxed

abc: 3.398 3.398 7.102
angles: 90.00 90.00 120.00
Atoms (fractional coordinates):
Sb 0.333 0.667 0.623
La 0.000 0.000 0.022
W 0.667 0.333 0.355

Results
Fermi-level density of states (states/eV per cell): 2.14
Total energy (eV per atom): -7.485
Energy relative to the elements, uncorrected (eV/f.u.): 1.26
Total moment (μB per atom): 0.000
Crystal system: trigonal